Arrangement P

DFT (PBE-GGA) results for crystalline ZnSb2Cl at its relaxed geometry.

Cell lengths 5.044, 5.044, 5.044 Å; angles 60.00, 60.00, 60.00 degrees
Fractional positions:
Cl (0.000, 0.000, 0.000)
Sb (0.250, 0.250, 0.250)
Sb (0.750, 0.750, 0.750)
Zn (0.500, 0.500, 0.500)

Values from the calculation:
Fermi-level density of states = 1.53 states/eV per cell
Calculated density = 6.3 g cm⁻³

Arrangement Q

DFT (PBE-GGA) results for crystalline ZnSb2Cl at its relaxed geometry.

Cell lengths 5.323, 5.323, 3.282 Å; angles 90.00, 90.00, 90.00 degrees
Fractional positions:
Cl (0.000, 0.500, 0.500)
Zn (0.500, 0.000, 0.500)
Sb (0.000, 0.000, 0.000)
Sb (0.500, 0.500, 0.000)

Values from the calculation:
Fermi-level density of states = 2.75 states/eV per cell
Calculated density = 6.1 g cm⁻³

Stability, lowest: arrangement Q